Record 1
Density functional theory data (PBE) for a relaxed structure of ZnMoPt14.

Cell: 5.612 5.612 7.875 Å, 90.00 90.00 90.00°
Fractional coordinates of all 16 atoms:
Zn 0.000 0.000 0.000
Mo 0.500 0.500 0.000
Pt 0.000 0.000 0.500
Pt 0.000 0.500 0.000
Pt 0.000 0.500 0.500
Pt 0.251 0.251 0.244
Pt 0.251 0.251 0.756
Pt 0.251 0.749 0.244
Pt 0.251 0.749 0.756
Pt 0.500 0.000 0.000
Pt 0.500 0.000 0.500
Pt 0.500 0.500 0.500
Pt 0.749 0.251 0.244
Pt 0.749 0.251 0.756
Pt 0.749 0.749 0.244
Pt 0.749 0.749 0.756

* E_form: -0.187 eV per atom
* V: 248.0 Å³ per cell


Record 2
Density functional theory data (PBE) for a relaxed structure of Ca2CdBi.

Cell: 5.553 5.553 5.553 Å, 60.00 60.00 60.00°
Fractional coordinates of all 4 atoms:
Ca 0.250 0.250 0.250
Ca 0.750 0.750 0.750
Cd 0.000 0.000 0.000
Bi 0.500 0.500 0.500

* E_form: -0.568 eV per atom
* V: 121.1 Å³ per cell


Record 3
Density functional theory data (PBE) for a relaxed structure of CrNi3Pd6.

Cell: 6.613 6.613 6.613 Å, 91.88 91.88 91.88°
Fractional coordinates of all 20 atoms:
Cr 0.000 0.000 0.000
Cr 0.500 0.500 0.500
Ni 0.254 0.731 0.616
Ni 0.269 0.384 0.746
Ni 0.384 0.746 0.269
Ni 0.616 0.254 0.731
Ni 0.731 0.616 0.254
Ni 0.746 0.269 0.384
Pd 0.012 0.864 0.347
Pd 0.117 0.441 0.350
Pd 0.136 0.653 0.988
Pd 0.347 0.012 0.864
Pd 0.350 0.117 0.441
Pd 0.441 0.350 0.117
Pd 0.559 0.650 0.883
Pd 0.650 0.883 0.559
Pd 0.653 0.988 0.136
Pd 0.864 0.347 0.012
Pd 0.883 0.559 0.650
Pd 0.988 0.136 0.653

* E_form: 0.097 eV per atom
* V: 288.7 Å³ per cell


Record 4
Density functional theory data (PBE) for a relaxed structure of TcHg2Ru.

Cell: 2.856 2.856 9.675 Å, 90.00 90.00 116.19°
Fractional coordinates of all 4 atoms:
Tc 0.000 0.000 0.000
Hg 0.500 0.500 0.252
Hg 0.500 0.500 0.748
Ru 0.000 0.000 0.500

* E_form: 0.760 eV per atom
* V: 70.8 Å³ per cell


Record 5
Density functional theory data (PBE) for a relaxed structure of ScOsBr.

Cell: 6.295 6.295 6.295 Å, 151.18 151.18 41.21°
Fractional coordinates of all 3 atoms:
Sc 0.000 0.000 0.000
Os 0.362 0.362 0.000
Br 0.668 0.668 0.000

* formation energy from raw total energies: 0.4 eV/f.u.
* V: 57.8 Å³ per cell


Record 6
Density functional theory data (PBE) for a relaxed structure of ZrPb2W.

Cell: 5.758 5.758 5.758 Å, 144.16 125.46 66.99°
Fractional coordinates of all 4 atoms:
Zr 0.000 0.000 0.000
Pb 0.263 0.763 0.500
Pb 0.737 0.237 0.500
W 0.500 0.500 0.000

* E_form: 0.544 eV per atom
* V: 89.8 Å³ per cell


Record 7
Density functional theory data (PBE) for a relaxed structure of Si2PRhBr.

Cell: 4.460 4.460 4.886 Å, 90.00 90.00 90.00°
Fractional coordinates of all 5 atoms:
Si 0.000 0.500 0.000
Si 0.500 0.000 0.000
P 0.000 0.000 0.000
Rh 0.500 0.500 0.500
Br 0.000 0.000 0.500

* formation energy from raw total energies: 5.1 eV/f.u.
* V: 97.2 Å³ per cell


Record 8
Density functional theory data (PBE) for a relaxed structure of DyPaTl.

Cell: 7.793 7.237 5.253 Å, 75.34 63.95 40.71°
Fractional coordinates of all 6 atoms:
Dy 0.250 0.250 0.250
Dy 0.750 0.750 0.750
Pa 0.152 0.848 0.152
Pa 0.848 0.152 0.848
Tl 0.387 0.387 0.613
Tl 0.613 0.613 0.387

* E_form: 0.235 eV per atom
* V: 172.0 Å³ per cell